No. 1
The following is a GGA-PBE calculation of a geometry-optimized In2AsAu structure, from Alexandria.

```
In2AsAu
1.0
-1.6040 2.5591 5.5887
1.6040 -2.5591 5.5887
1.6040 2.5591 -5.5887
In As Au
2 1 1
direct
0.0000 0.0000 0.0000 In
0.6998 0.1998 0.5000 In
0.2646 0.7646 0.5000 As
0.4660 0.4660 0.0000 Au
```

Summary:
uncorrected energy: -13.22 eV per cell
calculated formation energy: 0.047 eV per atom

---

No. 2
The following is a GGA-PBE calculation of a geometry-optimized HfTi2HRh structure, from Alexandria.

```
HfTi2HRh
1.0
3.8146 0.0000 0.0000
0.0000 3.8146 0.0000
0.0000 0.0000 4.8958
Hf Ti H Rh
1 2 1 1
direct
0.0000 0.0000 0.0000 Hf
0.0000 0.5000 0.5000 Ti
0.5000 0.0000 0.5000 Ti
0.5000 0.5000 0.5000 H
0.5000 0.5000 0.0000 Rh
```

Summary:
uncorrected energy: -38.02 eV per cell

---

No. 3
The following is a GGA-PBE calculation of a geometry-optimized Ce4CdGa structure, from Alexandria.

```
Ce4CdGa
1.0
4.6006 -6.3334 0.0000
4.6006 6.3334 0.0000
-1.8811 0.0000 5.1726
Ce Cd Ga
8 2 2
direct
0.0571 0.6601 0.8812 Ce
0.1669 0.3915 0.6209 Ce
0.3399 0.9429 0.6188 Ce
0.3915 0.1669 0.1209 Ce
0.6085 0.8331 0.8791 Ce
0.6601 0.0571 0.3812 Ce
0.8331 0.6085 0.3791 Ce
0.9429 0.3399 0.1188 Ce
0.4040 0.5960 0.2500 Cd
0.5960 0.4040 0.7500 Cd
0.0105 0.9895 0.2500 Ga
0.9895 0.0105 0.7500 Ga
```

Summary:
uncorrected energy: -57.72 eV per cell
calculated formation energy: -0.197 eV per atom

---

uncorrected energy of number 2 (HfTi2HRh)? -38.02 eV per cell

---

Please write out number 3 again, unchanged.
The following is a GGA-PBE calculation of a geometry-optimized Ce4CdGa structure, from Alexandria.

```
Ce4CdGa
1.0
4.6006 -6.3334 0.0000
4.6006 6.3334 0.0000
-1.8811 0.0000 5.1726
Ce Cd Ga
8 2 2
direct
0.0571 0.6601 0.8812 Ce
0.1669 0.3915 0.6209 Ce
0.3399 0.9429 0.6188 Ce
0.3915 0.1669 0.1209 Ce
0.6085 0.8331 0.8791 Ce
0.6601 0.0571 0.3812 Ce
0.8331 0.6085 0.3791 Ce
0.9429 0.3399 0.1188 Ce
0.4040 0.5960 0.2500 Cd
0.5960 0.4040 0.7500 Cd
0.0105 0.9895 0.2500 Ga
0.9895 0.0105 0.7500 Ga
```

Summary:
uncorrected energy: -57.72 eV per cell
calculated formation energy: -0.197 eV per atom

---

Among the records above, which one has the highest uncorrected energy? In2AsAu